K2Li2BiO4: relaxed, PBE.

## Properties
- total magnetic moment (μB per cell) = 0.00
- total DFT energy (no corrections) (eV per atom) = -4.76
- raw formation energy (eV per formula unit) = -13.1

abc: 12.5148 3.5131 6.4475
angles: 90.00 110.49 90.00
Closest atoms and distances in Å follow each position.
Space group C2/m (No. 12)
One atom of each set of equivalent atoms:
1 K 0.1397 0.0000 0.0607 (multiplicity 4)  7 O 2.87-2.99, 3 Li 2.96-3.17
2 Li 0.1832 0.5000 0.4922 (multiplicity 4)  4 O 1.99-2.02
3 Bi 0.0000 0.0000 0.5000 (multiplicity 2)  6 O 2.28-2.31
4 O 0.0195 0.5000 0.2831 (multiplicity 4)  1 Li 2.02
5 O 0.1945 0.0000 0.6445 (multiplicity 4)  3 Li 1.99-2.02